[1]
Entry from the Alexandria database: a relaxed Ta2NbH6 crystal (PBE).

```
data_Ta2NbH6
_chemical_formula_sum 'Ta2 Nb1 H6'
_space_group_name_H-M_alt 'P 1'
_space_group_IT_number 1
_cell_length_a 5.538
_cell_length_b 5.538
_cell_length_c 5.538
_cell_angle_alpha 146.37
_cell_angle_beta 131.37
_cell_angle_gamma 60.42
loop_
_space_group_symop_operation_xyz
'x,y,z'
loop_
_atom_site_label
_atom_site_type_symbol
_atom_site_fract_x
_atom_site_fract_y
_atom_site_fract_z
Ta1 Ta 0.167 0.167 0.000
Ta2 Ta 0.833 0.833 0.000
Nb1 Nb 0.500 0.500 0.000
H1 H 0.080 0.332 0.747
H2 H 0.246 0.000 0.246
H3 H 0.415 0.668 0.747
H4 H 0.585 0.332 0.253
H5 H 0.754 0.000 0.754
H6 H 0.920 0.668 0.253
```

Summary:
total moment: 0.00 Bohr magnetons per cell
DFT total energy: -55.46 eV for the cell shown
N(E_F): 0.211 states/eV per atom


[2]
Entry from the Alexandria database: a relaxed Ta2NbH crystal (PBE).

```
data_Ta2NbH
_chemical_formula_sum 'Ta2 Nb1 H1'
_space_group_name_H-M_alt 'P 1'
_space_group_IT_number 1
_cell_length_a 4.770
_cell_length_b 4.770
_cell_length_c 2.917
_cell_angle_alpha 90.29
_cell_angle_beta 90.29
_cell_angle_gamma 59.89
loop_
_space_group_symop_operation_xyz
'x,y,z'
loop_
_atom_site_label
_atom_site_type_symbol
_atom_site_fract_x
_atom_site_fract_y
_atom_site_fract_z
Ta1 Ta 0.172 0.172 0.178
Ta2 Ta 0.828 0.828 0.822
Nb1 Nb 0.519 0.481 0.500
H1 H 0.249 0.751 0.000
```

Summary:
total moment: 0.00 Bohr magnetons per cell
DFT total energy: -37.60 eV for the cell shown
N(E_F): 0.728 states/eV per atom
distance to the lowest polymorph of the same formula: 0 meV/atom